# 1
# PBE RbTiTl, relaxed
data_RbTiTl
_chemical_formula_sum 'Rb2 Ti2 Tl2'
_cell_length_a 3.415
_cell_length_b 3.799
_cell_length_c 14.630
_cell_angle_alpha 89.51
_cell_angle_beta 89.56
_cell_angle_gamma 90.00
_symmetry_space_group_name_H-M 'P -1'
_symmetry_Int_Tables_number 2
_symmetry_space_group_name_Hall '-P 1'
loop_
_atom_site_label
_atom_site_fract_x
_atom_site_fract_y
_atom_site_fract_z
Rb1 0.239 0.239 0.345
Ti1 0.248 0.248 0.048
Tl1 0.256 0.255 0.841
# Energy of formation from the pure elements, eV/atom: 0.18

---

# 2
# PBE RbTi2Tl2, relaxed
data_RbTi2Tl2
_chemical_formula_sum 'Rb2 Ti4 Tl4'
_cell_length_a 5.351
_cell_length_b 5.351
_cell_length_c 10.443
_cell_angle_alpha 90.00
_cell_angle_beta 90.00
_cell_angle_gamma 90.00
_symmetry_space_group_name_H-M 'I 4/m m m'
_symmetry_Int_Tables_number 139
_symmetry_space_group_name_Hall '-I 4 2'
loop_
_atom_site_label
_atom_site_fract_x
_atom_site_fract_y
_atom_site_fract_z
Rb1 0.000 0.000 0.000
Ti1 0.000 0.000 0.351
Tl1 0.000 0.500 0.250
# Energy of formation from the pure elements, eV/atom: 0.66

---

# 3
# PBE RbTiTl, relaxed
data_RbTiTl
_chemical_formula_sum 'Rb4 Ti4 Tl4'
_cell_length_a 7.281
_cell_length_b 7.281
_cell_length_c 7.281
_cell_angle_alpha 90.00
_cell_angle_beta 90.00
_cell_angle_gamma 90.00
_symmetry_space_group_name_H-M 'F -4 3 m'
_symmetry_Int_Tables_number 216
_symmetry_space_group_name_Hall 'F -4 2 3'
loop_
_atom_site_label
_atom_site_fract_x
_atom_site_fract_y
_atom_site_fract_z
Rb1 0.000 0.000 0.000
Ti1 0.250 0.250 0.750
Tl1 0.000 0.000 0.500
# Energy of formation from the pure elements, eV/atom: 1.05

---

# 4
# PBE RbTiTl, relaxed
data_RbTiTl
_chemical_formula_sum 'Rb2 Ti2 Tl2'
_cell_length_a 4.198
_cell_length_b 7.040
_cell_length_c 8.122
_cell_angle_alpha 77.71
_cell_angle_beta 75.08
_cell_angle_gamma 89.18
_symmetry_space_group_name_H-M 'P -1'
_symmetry_Int_Tables_number 2
_symmetry_space_group_name_Hall '-P 1'
loop_
_atom_site_label
_atom_site_fract_x
_atom_site_fract_y
_atom_site_fract_z
Rb1 0.101 0.379 0.279
Ti1 0.228 0.941 0.047
Tl1 0.408 0.109 0.678
# Energy of formation from the pure elements, eV/atom: 0.47

---

# 5
# PBE RbTiTl, relaxed
data_RbTiTl
_chemical_formula_sum 'Rb2 Ti2 Tl2'
_cell_length_a 3.776
_cell_length_b 4.278
_cell_length_c 13.327
_cell_angle_alpha 99.14
_cell_angle_beta 90.45
_cell_angle_gamma 90.00
_symmetry_space_group_name_H-M 'P -1'
_symmetry_Int_Tables_number 2
_symmetry_space_group_name_Hall '-P 1'
loop_
_atom_site_label
_atom_site_fract_x
_atom_site_fract_y
_atom_site_fract_z
Rb1 0.240 0.335 0.160
Ti1 0.248 0.463 0.426
Tl1 0.253 0.056 0.614
# Energy of formation from the pure elements, eV/atom: 0.23

---

# 6
# PBE Rb2TiTl, relaxed
data_Rb2TiTl
_chemical_formula_sum 'Rb8 Ti4 Tl4'
_cell_length_a 8.701
_cell_length_b 8.701
_cell_length_c 8.701
_cell_angle_alpha 90.00
_cell_angle_beta 90.00
_cell_angle_gamma 90.00
_symmetry_space_group_name_H-M 'F m -3 m'
_symmetry_Int_Tables_number 225
_symmetry_space_group_name_Hall '-F 4 2 3'
loop_
_atom_site_label
_atom_site_fract_x
_atom_site_fract_y
_atom_site_fract_z
Rb1 0.250 0.250 0.250
Ti1 0.000 0.000 0.000
Tl1 0.000 0.000 0.500
# Energy of formation from the pure elements, eV/atom: 1.05

---

# 7
# PBE RbTiTl2, relaxed
data_RbTiTl2
_chemical_formula_sum 'Rb4 Ti4 Tl8'
_cell_length_a 6.243
_cell_length_b 6.243
_cell_length_c 18.638
_cell_angle_alpha 90.00
_cell_angle_beta 90.00
_cell_angle_gamma 90.00
_symmetry_space_group_name_H-M 'I -4 2 d'
_symmetry_Int_Tables_number 122
_symmetry_space_group_name_Hall 'I -4 2bw'
loop_
_atom_site_label
_atom_site_fract_x
_atom_site_fract_y
_atom_site_fract_z
Rb1 0.000 0.000 0.000
Ti1 0.000 0.000 0.500
Tl1 0.031 0.250 0.625
# Energy of formation from the pure elements, eV/atom: 0.53

---

# 8
# PBE RbTiTl, relaxed
data_RbTiTl
_chemical_formula_sum 'Rb1 Ti1 Tl1'
_cell_length_a 5.4539
_cell_length_b 5.4539
_cell_length_c 3.4586
_cell_angle_alpha 90.00
_cell_angle_beta 90.00
_cell_angle_gamma 120.00
_symmetry_space_group_name_H-M 'P -6 m 2'
_symmetry_Int_Tables_number 187
_symmetry_space_group_name_Hall 'P -6 2'
loop_
_atom_site_label
_atom_site_fract_x
_atom_site_fract_y
_atom_site_fract_z
Rb1 0.0000 0.0000 0.0000
Ti1 0.6667 0.3333 0.5000
Tl1 0.3333 0.6667 0.5000
# Energy of formation from the pure elements, eV/atom: 0.83

---

What did the eighth record say?
# PBE RbTiTl, relaxed
data_RbTiTl
_chemical_formula_sum 'Rb1 Ti1 Tl1'
_cell_length_a 5.4539
_cell_length_b 5.4539
_cell_length_c 3.4586
_cell_angle_alpha 90.00
_cell_angle_beta 90.00
_cell_angle_gamma 120.00
_symmetry_space_group_name_H-M 'P -6 m 2'
_symmetry_Int_Tables_number 187
_symmetry_space_group_name_Hall 'P -6 2'
loop_
_atom_site_label
_atom_site_fract_x
_atom_site_fract_y
_atom_site_fract_z
Rb1 0.0000 0.0000 0.0000
Ti1 0.6667 0.3333 0.5000
Tl1 0.3333 0.6667 0.5000
# Energy of formation from the pure elements, eV/atom: 0.83

---

Which of these has the lowest energy of formation from the pure elements?
number 1

---

Which formula does entry 2 have?
RbTi2Tl2